First-principles (PBE) data for crystalline Er6AlBi2 at its relaxed geometry, as listed in Alexandria.

Unit cell a=6.854 b=6.854 c=13.731 alpha=90.00 beta=90.00 gamma=90.00
Fractional positions:
Er (0.191, 0.191, 0.157)
Er (0.191, 0.191, 0.843)
Er (0.211, 0.211, 0.500)
Er (0.289, 0.711, 0.000)
Er (0.309, 0.691, 0.343)
Er (0.309, 0.691, 0.657)
Er (0.691, 0.309, 0.343)
Er (0.691, 0.309, 0.657)
Er (0.711, 0.289, 0.000)
Er (0.789, 0.789, 0.500)
Er (0.809, 0.809, 0.157)
Er (0.809, 0.809, 0.843)
Al (0.000, 0.000, 0.000)
Al (0.500, 0.500, 0.500)
Bi (0.000, 0.000, 0.334)
Bi (0.000, 0.000, 0.666)
Bi (0.500, 0.500, 0.166)
Bi (0.500, 0.500, 0.834)

Values from the calculation:
The total energy is -4.2747 eV per atom. As for the space group: P4_2/mnm (136). The calculation puts the density of states at the Fermi level at 1.871 states/eV per atom. The magnetic moment is 1.6 μB/f.u.